No. 1
Below is a geometry-optimized La2ZnCo structure, with properties calculated at the PBEsol level.

a = 3.5338 Å, b = 3.5338 Å, c = 7.2194 Å
α = 90.00°, β = 90.00°, γ = 90.00°
Closest atoms and distances in Å follow each position.
Fractional coordinates of all 4 atoms:
La 0.0000 0.0000 0.2751  4 Co 2.98, 4 Zn 3.19, 1 La 3.25
La 0.0000 0.0000 0.7249  4 Co 2.98, 4 Zn 3.19, 1 La 3.25
Co 0.5000 0.5000 0.5000  8 La 2.98
Zn 0.5000 0.5000 0.0000  8 La 3.19, 4 Zn 3.53

Summary:
Formation enthalpy at 0 K   -0.092 eV per atom
Space-group type   P4/mmm



No. 2
Below is a geometry-optimized Cs2TlHgF6 structure, with properties calculated at the PBEsol level.

a = 6.5429 Å, b = 6.5429 Å, c = 6.5429 Å
α = 60.00°, β = 60.00°, γ = 60.00°
Closest atoms and distances in Å follow each position.
Fractional coordinates of all 10 atoms:
Hg 0.5000 0.5000 0.5000  6 F 2.30
F 0.7487 0.7487 0.2513  1 Hg 2.30, 1 Tl 2.33
F 0.7487 0.2513 0.2513  1 Hg 2.30, 1 Tl 2.33
F 0.2513 0.2513 0.7487  1 Hg 2.30, 1 Tl 2.33
Cs 0.7500 0.7500 0.7500  12 F 3.27
F 0.2513 0.7487 0.2513  1 Hg 2.30, 1 Tl 2.33
F 0.7487 0.2513 0.7487  1 Hg 2.30, 1 Tl 2.33
F 0.2513 0.7487 0.7487  1 Hg 2.30, 1 Tl 2.33
Cs 0.2500 0.2500 0.2500  12 F 3.27
Tl 0.0000 0.0000 0.0000  6 F 2.33

Summary:
Space-group type   Fm-3m
E_form (uncorrected)   -2.100 eV/atom



No. 3
Below is a geometry-optimized Si2SbIF structure, with properties calculated at the PBEsol level.

a = 4.2266 Å, b = 5.3551 Å, c = 5.3551 Å
α = 90.00°, β = 90.00°, γ = 90.00°
Closest atoms and distances in Å follow each position.
Fractional coordinates of all 5 atoms:
I 0.5000 0.5000 0.5000  8 Si 3.41, 4 F 3.79
F 0.5000 0.0000 0.0000  2 Sb 2.11
Sb 0.0000 0.0000 0.0000  2 F 2.11
Si 0.0000 0.0000 0.5000  2 Sb 2.68
Si 0.0000 0.5000 0.0000  2 Sb 2.68

Summary:
Space-group type   P4/mmm
E_form (uncorrected)   0.124 eV/atom



| no. | E (eV/f.u.) | N(E_F) (states/eV per cell) |
| --- | --- | --- |
| 1 | -20.38 | 3.75 |
| 2 | -37.64 | 1.36 |
| 3 | -19.13 | 2.25 |